DFT (PBE) results for an optimized crystal structure of Sm2HoTl3Se6.

Cell and atoms, written as POSCAR:
```
Sm2HoTl3Se6
1.0
7.340 -0.001 0.000
-3.669 6.357 0.000
-1.224 -2.120 7.770
Sm Ho Tl Se
2 1 3 6
direct
0.333 0.667 0.000 Sm
0.667 0.333 0.000 Sm
0.000 0.000 0.000 Ho
0.168 0.832 0.500 Tl
0.832 0.168 0.500 Tl
0.500 0.500 0.500 Tl
0.931 0.604 0.794 Se
0.742 0.742 0.208 Se
0.069 0.396 0.206 Se
0.604 0.931 0.794 Se
0.258 0.258 0.792 Se
0.396 0.069 0.206 Se
```

Values from the calculation:
Uncorrected energy   -58.62 eV/f.u.
Spin magnetization   0.0 μB/f.u.